This record from Alexandria describes crystalline Zr4Cu2N at its relaxed geometry. The functional is PBE.

relative energy among the computed polymorphs	0.190	eV per atom
calculated total energy	-53.9	eV per formula unit
ΔE_f (raw)	-0.456	eV per atom

Structure (CIF):
```
data_Zr4Cu2N
_symmetry_space_group_name_H-M 'I 4/m m m'
_symmetry_Int_Tables_number 139
_symmetry_space_group_name_Hall '-I 4 2'
_cell_length_a 4.432
_cell_length_b 4.432
_cell_length_c 12.951
_cell_angle_alpha 90.00
_cell_angle_beta 90.00
_cell_angle_gamma 90.00
loop_
_atom_site_label
_atom_site_type_symbol
_atom_site_fract_x
_atom_site_fract_y
_atom_site_fract_z
Zr1 Zr 0.000 0.000 0.179
Zr2 Zr 0.000 0.500 0.000
Cu1 Cu 0.000 0.000 0.376
N1 N 0.000 0.000 0.000
```

This record from Alexandria describes crystalline Zr6CuN at its relaxed geometry. The functional is PBE.

calculated total energy	-66.1	eV per formula unit
ΔE_f (raw)	-0.296	eV per atom

Structure (CIF):
```
data_Zr6CuN
_symmetry_space_group_name_H-M 'P -1'
_symmetry_Int_Tables_number 2
_cell_length_a 5.791
_cell_length_b 5.815
_cell_length_c 6.150
_cell_angle_alpha 89.34
_cell_angle_beta 63.30
_cell_angle_gamma 64.44
loop_
_symmetry_equiv_pos_as_xyz
'x,y,z'
'-x,-y,-z'
loop_
_atom_site_label
_atom_site_type_symbol
_atom_site_fract_x
_atom_site_fract_y
_atom_site_fract_z
Zr1 Zr 0.063 0.379 0.221
Zr2 Zr 0.291 0.782 0.241
Zr3 Zr 0.309 0.958 0.762
Cu1 Cu 0.500 0.500 0.500
N1 N 0.500 0.000 0.000
```

This record from Alexandria describes crystalline Zr6CuN3 at its relaxed geometry. The functional is PBE.

relative energy among the computed polymorphs	0.226	eV per atom
calculated total energy	-88.7	eV per formula unit
ΔE_f (raw)	-0.837	eV per atom

Structure (CIF):
```
data_Zr6CuN3
_symmetry_space_group_name_H-M 'P 1 21/m 1'
_symmetry_Int_Tables_number 11
_cell_length_a 9.791
_cell_length_b 3.309
_cell_length_c 11.082
_cell_angle_alpha 90.00
_cell_angle_beta 111.25
_cell_angle_gamma 90.00
loop_
_symmetry_equiv_pos_as_xyz
'x,y,z'
'-x,-y,-z'
'-x,y+1/2,-z'
'x,-y+1/2,z'
loop_
_atom_site_label
_atom_site_type_symbol
_atom_site_fract_x
_atom_site_fract_y
_atom_site_fract_z
Zr1 Zr 0.096 0.250 0.293
Zr2 Zr 0.131 0.750 0.988
Zr3 Zr 0.141 0.750 0.598
Zr4 Zr 0.372 0.250 0.899
Zr5 Zr 0.374 0.750 0.450
Zr6 Zr 0.378 0.250 0.191
Cu1 Cu 0.387 0.250 0.654
N1 N 0.007 0.750 0.386
N2 N 0.123 0.250 0.108
N3 N 0.381 0.750 0.045
```

This record from Alexandria describes crystalline Zr6CuN2 at its relaxed geometry. The functional is PBE.

calculated total energy	-77.7	eV per formula unit
ΔE_f (raw)	-0.626	eV per atom

Structure (CIF):
```
data_Zr6CuN2
_symmetry_space_group_name_H-M 'C 1 2/m 1'
_symmetry_Int_Tables_number 12
_cell_length_a 11.126
_cell_length_b 4.467
_cell_length_c 7.633
_cell_angle_alpha 90.00
_cell_angle_beta 119.17
_cell_angle_gamma 90.00
loop_
_symmetry_equiv_pos_as_xyz
'x,y,z'
'-x,-y,-z'
'-x,y,-z'
'x,-y,z'
'x+1/2,y+1/2,z'
'-x+1/2,-y+1/2,-z'
'-x+1/2,y+1/2,-z'
'x+1/2,-y+1/2,z'
loop_
_atom_site_label
_atom_site_type_symbol
_atom_site_fract_x
_atom_site_fract_y
_atom_site_fract_z
Zr1 Zr 0.026 0.000 0.197
Zr2 Zr 0.160 0.500 0.568
Zr3 Zr 0.191 0.500 0.077
Cu1 Cu 0.000 0.000 0.500
N1 N 0.184 0.000 0.087
```